VASP calculation (PBE+U) on crystalline AcMn2IO8 at its relaxed geometry.

Calculated values
symmetry: P-1
electronic total energy: -75.0 eV/cell

Geometry as CIF:
```
data_AcMn2IO8
_chemical_formula_sum 'Ac1 Mn2 I1 O8'
_cell_length_a 4.655
_cell_length_b 5.097
_cell_length_c 8.547
_cell_angle_alpha 90.72
_cell_angle_beta 79.67
_cell_angle_gamma 70.83
_space_group_name_H-M_alt 'P 1'
_space_group_IT_number 1
_space_group_name_Hall 'P 1'
loop_
_atom_site_label
_atom_site_type_symbol
_atom_site_fract_x
_atom_site_fract_y
_atom_site_fract_z
O1 O 0.116 0.773 0.768
O2 O 0.738 0.384 0.732
O3 O 0.884 0.227 0.232
O4 O 0.365 0.253 0.578
O5 O 0.711 0.771 0.082
O6 O 0.289 0.229 0.918
O7 O 0.262 0.616 0.268
O8 O 0.635 0.747 0.422
Ac1 Ac 0.000 0.000 0.500
Mn1 Mn 0.636 0.584 0.244
Mn2 Mn 0.364 0.416 0.756
I1 I 0.000 0.000 0.000
```